# 1
! Y3Ga10Ni | OQMD | PBE | optimized geometry; values from VASP
&SYSTEM
  ibrav = 0, nat = 14, ntyp = 3
/
ATOMIC_SPECIES
Y 88.91 Y.upf
Ga 69.72 Ga.upf
Ni 58.69 Ni.upf
ATOMIC_POSITIONS crystal
Y 0.000 0.000 0.000
Y 0.000 0.500 0.250
Y 0.000 0.500 0.750
Ga 0.000 0.000 0.415
Ga 0.000 0.000 0.585
Ga 0.500 0.000 0.156
Ga 0.500 0.000 0.312
Ga 0.500 0.000 0.688
Ga 0.500 0.000 0.844
Ga 0.500 0.500 0.080
Ga 0.500 0.500 0.413
Ga 0.500 0.500 0.587
Ga 0.500 0.500 0.920
Ni 0.000 0.500 0.500
CELL_PARAMETERS angstrom
4.161 0.000 0.000
0.000 4.238 0.000
0.000 0.000 15.296
! **Uncorrected energy**: -62.4 eV per cell
! **Density**: 6.30 g/cm3
! **Magnetization**: 0.0002 μB/atom
! **Symmetry**: No. 47
! **V**: 270 Å³/cell



# 2
! Y6GaNi2 | OQMD | PBE | optimized geometry; values from VASP
&SYSTEM
  ibrav = 0, nat = 18, ntyp = 3
/
ATOMIC_SPECIES
Y 88.91 Y.upf
Ga 69.72 Ga.upf
Ni 58.69 Ni.upf
ATOMIC_POSITIONS crystal
Y 0.046 0.239 0.807
Y 0.180 0.282 0.461
Y 0.180 0.718 0.898
Y 0.327 0.019 0.692
Y 0.327 0.635 0.308
Y 0.432 0.239 0.193
Y 0.568 0.761 0.807
Y 0.673 0.365 0.692
Y 0.673 0.981 0.308
Y 0.820 0.282 0.102
Y 0.820 0.718 0.539
Y 0.954 0.761 0.193
Ga 0.000 0.000 0.000
Ga 0.500 0.500 0.000
Ni 0.119 0.619 0.500
Ni 0.342 0.000 0.342
Ni 0.658 0.000 0.658
Ni 0.881 0.381 0.500
CELL_PARAMETERS angstrom
-4.653 4.817 4.978
4.653 -4.817 4.978
4.653 4.817 -4.978
! **Uncorrected energy**: -112.5 eV per cell
! **Density**: 5.36 g/cm3
! **Magnetization**: 0.0016 μB/atom
! **Symmetry**: No. 71
! **V**: 446 Å³/cell